A relaxed structure of NaCa2SnSe4. Source: Alexandria, functional GGA-PBE.

abc: 4.196 7.297 7.209
angles: 108.43 90.00 90.00
Positions (direct):
1 Na 0.500 0.500 0.000
2 Ca 0.500 0.000 0.500
3 Ca 0.000 0.500 0.500
4 Sn 0.000 0.000 0.000
5 Se 0.500 0.246 0.248
6 Se 0.500 0.754 0.752
7 Se 0.000 0.237 0.751
8 Se 0.000 0.763 0.249

## Properties
E_form (uncorrected) = -1.2852 eV per atom
total DFT energy (no corrections) = -4.19 eV per atom
M_tot = 0.00 μB per atom
symmetry = No. 10
N(E_F) = 3.902 states/eV/f.u.